Entry from Alexandria: a relaxed KSnGePt crystal (GGA-PBE).

Properties
Volume in A^3/atom: 27.368
E_form in meV/atom: -431
Magnetic moment in μB per cell: 0.00
DFT total energy in eV per atom: -4.370

Cell lengths 4.2238, 4.2238, 21.2567 Å; angles 90.00, 90.00, 120.00 degrees
Positions (direct):
K 0.0000 0.0000 0.0000
K 0.3333 0.6667 0.6667
K 0.6667 0.3333 0.3333
Sn 0.0000 0.0000 0.7936
Sn 0.3333 0.6667 0.4603
Sn 0.6667 0.3333 0.1270
Ge 0.0000 0.0000 0.5544
Ge 0.3333 0.6667 0.2210
Ge 0.6667 0.3333 0.8877
Pt 0.0000 0.0000 0.1934
Pt 0.3333 0.6667 0.8601
Pt 0.6667 0.3333 0.5267